YTl3Sn2Se6 | PBE-GGA | relaxed

a = 7.269 Å, b = 7.269 Å, c = 8.032 Å
α = 98.62°, β = 98.62°, γ = 120.22°
Fractional positions:
1 Y 0.000 0.000 0.000
2 Tl 0.165 0.835 0.500
3 Tl 0.500 0.500 0.500
4 Tl 0.835 0.165 0.500
5 Sn 0.333 0.667 0.000
6 Sn 0.667 0.333 0.000
7 Se 0.070 0.403 0.208
8 Se 0.266 0.266 0.795
9 Se 0.403 0.070 0.208
10 Se 0.597 0.930 0.792
11 Se 0.734 0.734 0.205
12 Se 0.930 0.597 0.792

SG   C2/m, No. 12
DOS(E_F)   7.44 states/eV per cell
M_tot   0.000 μB per atom
Final energy   -4.251 eV/atom